DFT (PBE-GGA) results for an optimized crystal structure of PmSm2Ho.

Computed properties:
**Fermi-level density of states**: 1.6008 states/eV/atom
**E above lowest polymorph**: 0.01 eV/f.u.
**Energy of formation**: 0.018 eV/atom

```
data_PmSm2Ho
_space_group_name_H-M_alt 'P 4/m m m'
_space_group_IT_number 123
_space_group_name_Hall '-P 4 2'
_cell_length_a 5.099
_cell_length_b 5.099
_cell_length_c 5.102
_cell_angle_alpha 90.00
_cell_angle_beta 90.00
_cell_angle_gamma 90.00
loop_
_atom_site_label
_atom_site_type_symbol
_atom_site_fract_x
_atom_site_fract_y
_atom_site_fract_z
Pm1 Pm 0.000 0.000 0.000
Sm1 Sm 0.000 0.500 0.500
Ho1 Ho 0.500 0.500 0.000
```


DFT (PBE-GGA) results for an optimized crystal structure of Pm4Sm3Ho3.

Computed properties:
**Fermi-level density of states**: 0.9052 states/eV/atom
**Energy of formation**: 0.109 eV/atom

```
data_Pm4Sm3Ho3
_space_group_name_H-M_alt 'A m m 2'
_space_group_IT_number 38
_cell_length_a 3.812
_cell_length_b 13.232
_cell_length_c 13.301
_cell_angle_alpha 90.00
_cell_angle_beta 90.00
_cell_angle_gamma 90.00
loop_
_space_group_symop_operation_xyz
'x,y,z'
'-x,-y,z'
'-x,y,z'
'x,-y,z'
'x,y+1/2,z+1/2'
'-x,-y+1/2,z+1/2'
'-x,y+1/2,z+1/2'
'x,-y+1/2,z+1/2'
loop_
_atom_site_label
_atom_site_type_symbol
_atom_site_fract_x
_atom_site_fract_y
_atom_site_fract_z
Pm1 Pm 0.000 0.000 0.000
Pm2 Pm 0.000 0.000 0.263
Pm3 Pm 0.000 0.130 0.632
Sm1 Sm 0.500 0.000 0.462
Sm2 Sm 0.500 0.169 0.131
Ho1 Ho 0.000 0.247 0.881
Ho2 Ho 0.500 0.000 0.801
```


Number 1: ρ 7.65 Mg/m³, total DFT energy (no corrections) -4.674 eV per atom. Number 2: ρ 7.55 Mg/m³, total DFT energy (no corrections) -4.580 eV per atom.